Record 1
SrRuC2O6: optimized geometry, PBE-GGA.

abc: 6.227 6.227 6.227
angles: 47.41 47.41 47.41
Fractional positions:
Sr  0.000  0.000  0.000
Ru  0.500  0.500  0.500
C  0.236  0.236  0.236
C  0.764  0.764  0.764
O  0.036  0.519  0.731
O  0.269  0.964  0.481
O  0.481  0.269  0.964
O  0.519  0.731  0.036
O  0.731  0.036  0.519
O  0.964  0.481  0.269

Values from the calculation:
space group	R-3, No. 148
energy relative to the elements, uncorrected	-1.512	eV/atom
VASP energy	-7.427	eV per atom
total magnetic moment	0.08	μB per cell

***

Record 2
Pr2NdSm5: optimized geometry, PBE-GGA.

abc: 7.312 14.628 5.169
angles: 90.00 90.00 90.00
Fractional positions:
Pr  0.249  0.125  0.000
Pr  0.251  0.625  0.000
Pr  0.749  0.375  0.000
Pr  0.751  0.875  0.000
Nd  0.000  0.500  0.500
Nd  0.500  0.000  0.500
Sm  0.000  0.000  0.500
Sm  0.001  0.751  0.500
Sm  0.250  0.375  0.000
Sm  0.250  0.875  0.000
Sm  0.499  0.251  0.500
Sm  0.500  0.500  0.500
Sm  0.501  0.749  0.500
Sm  0.750  0.125  0.000
Sm  0.750  0.625  0.000
Sm  0.999  0.249  0.500

Values from the calculation:
calculated formation energy	0.01	eV per atom
space group	Pbam, No. 55
VASP energy	-4.726	eV per atom
density of states at the Fermi level	1.587	states/eV per atom
energy above the most stable polymorph in this dataset	0	meV/atom
total magnetic moment	0.00	μB per cell

***

Record 3
Na2ScZn: optimized geometry, PBE-GGA.

abc: 8.671 8.671 5.731
angles: 90.00 90.00 90.00
Fractional positions:
Na  0.203  0.250  0.125
Na  0.250  0.703  0.375
Na  0.250  0.797  0.875
Na  0.297  0.250  0.625
Na  0.703  0.750  0.625
Na  0.750  0.203  0.875
Na  0.750  0.297  0.375
Na  0.797  0.750  0.125
Sc  0.000  0.000  0.500
Sc  0.000  0.500  0.750
Sc  0.500  0.000  0.250
Sc  0.500  0.500  0.000
Zn  0.000  0.000  0.000
Zn  0.000  0.500  0.250
Zn  0.500  0.000  0.750
Zn  0.500  0.500  0.500

Values from the calculation:
calculated formation energy	0.41	eV per atom
space group	I-42d, No. 122
VASP energy	-2.150	eV per atom
density of states at the Fermi level	1.150	states/eV per atom
total magnetic moment	0.00	μB per cell